This record from Alexandria describes a relaxed structure of Er2Al5Ag4. The functional is GGA-PBE.

Values from the calculation:
Spin magnetization (μB per formula unit): 0.00
E (eV per atom): -3.8222
DFT formation energy (kJ/mol of atoms): -25

a = 5.424 Å, b = 5.308 Å, c = 9.305 Å
α = 81.44°, β = 73.05°, γ = 59.27°
Positions (direct):
Er1 0.899 0.000 0.202
Er2 0.101 0.000 0.798
Al1 0.500 0.000 0.000
Al2 0.000 0.500 0.000
Al3 0.500 0.500 0.000
Al4 0.250 0.500 0.500
Al5 0.750 0.500 0.500
Ag1 0.468 0.326 0.737
Ag2 0.532 0.674 0.263
Ag3 0.206 0.326 0.263
Ag4 0.794 0.674 0.737